DFT (SCAN) results for CoHSe2 at its PBEsol-relaxed geometry.

The structure belongs to space group R-3m (No. 166, hexagonal axes); the cell edges are 3.5652, 3.5652 and 17.4554 Å and the angles 90.00°, 90.00° and 120.00°. The inequivalent atoms are Co at (0.0000, 0.0000, 0.0000), H at (0.0000, 0.0000, 0.5000) and Se at (0.0000, 0.0000, 0.3989).

The total energy comes out at -184.8 eV for the cell shown.

---

DFT (SCAN) results for Co2H2Se at its PBEsol-relaxed geometry.

The structure belongs to space group P4/mbm (No. 127); the cell edges are 6.026, 6.026 and 2.570 Å and the angles 90.00°, 90.00° and 90.00°. The inequivalent atoms are Co at (0.130, 0.370, 0.000), H at (0.087, 0.587, 0.500) and Se at (0.000, 0.000, 0.000).

The total energy comes out at -118.0 eV for the cell shown.

---

DFT (SCAN) results for CoSi2H at its PBEsol-relaxed geometry.

The structure belongs to space group Fm-3m (No. 225); the cell edges are 5.383, 5.383 and 5.383 Å and the angles 90.00°, 90.00° and 90.00°. The inequivalent atoms are Co at (0.000, 0.000, 0.000), Si at (0.250, 0.250, 0.250) and H at (0.000, 0.000, 0.500).

The total energy comes out at -157.8 eV for the cell shown.

---

DFT (SCAN) results for Co2SnH2 at its PBEsol-relaxed geometry.

The structure belongs to space group P4/mbm (No. 127); the cell edges are 5.759, 5.759 and 2.789 Å and the angles 90.00°, 90.00° and 90.00°. The inequivalent atoms are Co at (0.147, 0.353, 0.000), Sn at (0.000, 0.000, 0.500) and H at (0.067, 0.567, 0.500).

The total energy comes out at -148.7 eV for the cell shown. Its energy above the most stable polymorph in this dataset is 332 meV/atom.

---

DFT (SCAN) results for Co2SnH2 at its PBEsol-relaxed geometry.

The structure belongs to space group I4/mmm (No. 139); the cell edges are 3.092, 3.092 and 9.169 Å and the angles 90.00°, 90.00° and 90.00°. The inequivalent atoms are Co at (0.000, 0.000, 0.157), Sn at (0.000, 0.000, 0.500) and H at (0.000, 0.500, 0.250).

The total energy comes out at -152.1 eV for the cell shown. Its energy above the most stable polymorph in this dataset is 0 meV/atom.

---

DFT (SCAN) results for Zr6CoSn2H10 at its PBEsol-relaxed geometry.

The structure belongs to space group P-62c (No. 190); the cell edges are 8.0089, 8.0089 and 7.2732 Å and the angles 90.00°, 90.00° and 120.00°. The inequivalent atoms are Zr at (0.0000, 0.7443, 0.0000), Zr at (0.0467, 0.4172, 0.2500), Co at (0.0000, 0.0000, 0.2500), Sn at (0.3333, 0.6667, 0.5408), H at (0.0000, 0.0000, 0.0000), H at (0.0000, 0.2756, 0.0000), H at (0.1070, 0.7052, 0.2500) and H at (0.1174, 0.8812, 0.7500).

The total energy comes out at -635.6 eV for the cell shown.

---

DFT (SCAN) results for SrCo3H at its PBEsol-relaxed geometry.

The structure belongs to space group Pm-3m (No. 221); the cell edges are 3.922, 3.922 and 3.922 Å and the angles 90.00°, 90.00° and 90.00°. The inequivalent atoms are Sr at (0.000, 0.000, 0.000), Co at (0.000, 0.500, 0.500) and H at (0.500, 0.500, 0.500).

The total energy comes out at -74.2 eV for the cell shown.

---

DFT (SCAN) results for Ta2CoH2 at its PBEsol-relaxed geometry.

The structure belongs to space group I4/mmm (No. 139); the cell edges are 2.885, 2.885 and 12.018 Å and the angles 90.00°, 90.00° and 90.00°. The inequivalent atoms are Ta at (0.000, 0.000, 0.139), Co at (0.000, 0.000, 0.500) and H at (0.000, 0.500, 0.250).

The total energy comes out at -316.4 eV for the cell shown. Its energy above the most stable polymorph in this dataset is 0 meV/atom.

---

DFT (SCAN) results for TaCo3H at its PBEsol-relaxed geometry.

The structure belongs to space group Pm-3m (No. 221); the cell edges are 3.627, 3.627 and 3.627 Å and the angles 90.00°, 90.00° and 90.00°. The inequivalent atoms are Ta at (0.000, 0.000, 0.000), Co at (0.000, 0.500, 0.500) and H at (0.500, 0.500, 0.500).

The total energy comes out at -122.5 eV for the cell shown.

---

DFT (SCAN) results for Ta2CoH2 at its PBEsol-relaxed geometry.

The structure belongs to space group P4/mbm (No. 127); the cell edges are 5.943, 5.943 and 2.782 Å and the angles 90.00°, 90.00° and 90.00°. The inequivalent atoms are Ta at (0.168, 0.332, 0.000), Co at (0.000, 0.000, 0.500) and H at (0.120, 0.620, 0.500).

The total energy comes out at -313.0 eV for the cell shown. Its energy above the most stable polymorph in this dataset is 335 meV/atom.

---

DFT (SCAN) results for CoTcH2 at its PBEsol-relaxed geometry.

The structure belongs to space group I-42d (No. 122); the cell edges are 3.892, 3.892 and 7.869 Å and the angles 90.00°, 90.00° and 90.00°. The inequivalent atoms are Co at (0.000, 0.000, 0.000), Tc at (0.000, 0.000, 0.500) and H at (0.201, 0.250, 0.125).

The total energy comes out at -233.4 eV for the cell shown.

---

DFT (SCAN) results for CoTc3H at its PBEsol-relaxed geometry.

The structure belongs to space group Pm-3m (No. 221); the cell edges are 3.785, 3.785 and 3.785 Å and the angles 90.00°, 90.00° and 90.00°. The inequivalent atoms are Co at (0.000, 0.000, 0.000), Tc at (0.000, 0.500, 0.500) and H at (0.500, 0.500, 0.500).

The total energy comes out at -125.1 eV for the cell shown.